Compound: BaAg2Mo
Source: Alexandria via LeMat-Bulk
Functional: GGA-PBE
Structure: relaxed

a b c (Å): 3.0525 3.0525 9.4876
angles (deg): 90.00 90.00 90.00
Closest atoms and distances in Å follow each position.
Element x y z (fractional)
Ag1 0.5000 0.5000 0.2048  8 Ag 2.92-3.05
Ag2 0.0000 0.0000 0.9973  4 Mo 2.90, 8 Ag 2.92-3.05
Mo1 0.5000 0.5000 0.7935  4 Ag 2.90, 4 Mo 3.05
Ba1 0.0000 0.0000 0.5044  4 Ba 3.05

Total magnetization in Bohr magnetons per cell: 0.0
Calculated total energy in hartree per atom: -0.145
Formation energy in eV per atom: 0.68
Distance to the lowest polymorph of the same formula in eV/f.u.: 0.185

Compound: BaAg2Mo
Source: Alexandria via LeMat-Bulk
Functional: GGA-PBE
Structure: relaxed

a b c (Å): 3.7916 3.2300 8.3390
angles (deg): 67.15 90.00 90.00
Closest atoms and distances in Å follow each position.
Element x y z (fractional)
Ag1 0.0000 0.0650 0.9352  1 Ag 2.85, 4 Mo 2.87
Ag2 0.0000 0.4350 0.5648  1 Ag 2.85, 4 Mo 2.87
Mo1 0.5000 0.7500 0.7500  8 Ag 2.87
Ba1 0.5000 0.2500 0.2500  2 Ba 3.23, 8 Ag 3.47

Total magnetization in Bohr magnetons per cell: 1.4
Calculated total energy in hartree per atom: -0.146
Formation energy in eV per atom: 0.63
Distance to the lowest polymorph of the same formula in eV/f.u.: 0.000

Compound: BaAg2Mo
Source: Alexandria via LeMat-Bulk
Functional: GGA-PBE
Structure: relaxed

a b c (Å): 5.2013 5.2013 6.3292
angles (deg): 82.56 82.56 34.37
Closest atoms and distances in Å follow each position.
Element x y z (fractional)
Ag1 0.0013 0.0013 0.0188  3 Mo 2.88-2.89, 5 Ag 2.97-3.11
Ag2 0.7371 0.7371 0.8065  2 Mo 2.81, 5 Ag 2.97-3.11
Ba1 0.4991 0.4991 0.5032  2 Ba 3.07, 5 Ag 3.24-3.43, 1 Mo 3.36
Mo1 0.2625 0.2625 0.1715  5 Ag 2.81-2.89, 2 Mo 3.07

Total magnetization in Bohr magnetons per cell: 1.5
Calculated total energy in hartree per atom: -0.142
Formation energy in eV per atom: 0.75
Distance to the lowest polymorph of the same formula in eV/f.u.: 0.477